Na4Ta3VO12: optimized geometry, PBE with a Hubbard U.

The structure in CIF format:
```
data_Na4Ta3VO12
_symmetry_space_group_name_H-M 'P 1'
_symmetry_Int_Tables_number 1
_symmetry_space_group_name_Hall 'P 1'
_cell_length_a 6.8154
_cell_length_b 6.8154
_cell_length_c 6.8154
_cell_angle_alpha 109.47
_cell_angle_beta 109.47
_cell_angle_gamma 109.47
loop_
_atom_site_label
_atom_site_type_symbol
_atom_site_fract_x
_atom_site_fract_y
_atom_site_fract_z
Na1 Na 0.0000 0.0000 0.5000
Na2 Na 0.0000 0.5000 0.0000
Na3 Na 0.5000 0.0000 0.0000
Na4 Na 0.5000 0.5000 0.5000
Ta1 Ta 0.0000 0.5000 0.5000
Ta2 Ta 0.5000 0.0000 0.5000
Ta3 Ta 0.5000 0.5000 0.0000
V1 V 0.0000 0.0000 0.0000
O1 O 0.0000 0.2440 0.2440
O2 O 0.0000 0.7560 0.7560
O3 O 0.2440 0.0000 0.2440
O4 O 0.2440 0.2440 0.0000
O5 O 0.2500 0.5000 0.7500
O6 O 0.2500 0.7500 0.5000
O7 O 0.5000 0.2500 0.7500
O8 O 0.5000 0.7500 0.2500
O9 O 0.7500 0.2500 0.5000
O10 O 0.7500 0.5000 0.2500
O11 O 0.7560 0.0000 0.7560
O12 O 0.7560 0.7560 0.0000
```

Properties
For the electronic total energy, the calculation gives -156.1 eV per cell. As for the space-group type: Im-3m, No. 229. The value obtained for the total magnetization is 0.0 μB per formula unit.